Record 1
A plane-wave DFT calculation with PBE-GGA was carried out for a relaxed structure of PmPr4Co4.

Properties
The calculation puts the calculated total energy at -103.546 eV per cell.

a = 8.6319 Å, b = 8.6319 Å, c = 5.8535 Å
α = 90.00°, β = 90.00°, γ = 90.00°
Closest atoms and distances in Å follow each position.
Space group P4_2/n (No. 86, origin choice 2)
Symmetry-distinct sites (fractional):
Pm 0.2500 0.2500 0.2500 (multiplicity 2)  4 Co 2.70
Pr 0.0557 0.6769 0.1303 (multiplicity 8)  3 Co 2.73-2.99
Co 0.0123 0.6119 0.6047 (multiplicity 8)  1 Co 2.30

---

Record 2
A plane-wave DFT calculation with PBE-GGA was carried out for a relaxed structure of Dy3YTe6.

Properties
The polymorph energy (0 for the lowest one) is 0.0000 eV/atom. The calculation puts the calculated total energy at -105.732 eV per cell. As for the uncorrected formation energy: -31.70 kcal/mol of atoms.

a = 12.4729 Å, b = 4.3509 Å, c = 12.8019 Å
α = 90.00°, β = 109.36°, γ = 90.00°
Closest atoms and distances in Å follow each position.
Space group P2_1/m (No. 11)
Symmetry-distinct sites (fractional):
Dy 0.0695 0.2500 0.1664 (multiplicity 2)  6 Te 3.04-3.11
Dy 0.1835 0.7500 0.5024 (multiplicity 2)  7 Te 3.03-3.30
Dy 0.3444 0.2500 0.9203 (multiplicity 2)  6 Te 3.01-3.09
Y 0.4562 0.2500 0.3063 (multiplicity 2)  8 Te 3.17-3.32
Te 0.0166 0.2500 0.3819 (multiplicity 2)  4 Dy 3.04-3.30
Te 0.1066 0.2500 0.9377 (multiplicity 2)  4 Dy 3.05-3.11
Te 0.2487 0.7500 0.2805 (multiplicity 2)  3 Dy 3.11-3.20, 2 Y 3.31
Te 0.3088 0.7500 0.7496 (multiplicity 2)  3 Dy 3.01-3.03, 1 Y 3.24
Te 0.3893 0.2500 0.5327 (multiplicity 2)  3 Y 3.17-3.27, 2 Dy 3.29
Te 0.4163 0.7500 0.1012 (multiplicity 2)  3 Dy 3.09, 2 Y 3.32

---

Record 3
A plane-wave DFT calculation with PBE-GGA was carried out for a relaxed structure of Tb2NdReO8.

Properties
The calculation puts the calculated total energy at -198.155 eV per cell. As for the uncorrected formation energy: -63.29 kcal/mol of atoms.

a = 7.1975 Å, b = 7.2212 Å, c = 6.8891 Å
α = 90.00°, β = 90.00°, γ = 90.00°
Closest atoms and distances in Å follow each position.
Space group Cmmm (No. 65)
Symmetry-distinct sites (fractional):
Tb 0.0000 0.0000 0.2495 (multiplicity 4)  6 O 2.18-2.43
Nd 0.0000 0.5000 0.0000 (multiplicity 2)  6 O 2.27-2.44
Re 0.0000 0.5000 0.5000 (multiplicity 2)  6 O 1.90-1.91
O 0.0000 0.1855 0.0000 (multiplicity 4)  2 Tb 2.18, 1 Nd 2.27
O 0.0000 0.2366 0.5000 (multiplicity 4)  1 Re 1.90
O 0.1828 0.5000 0.2988 (multiplicity 8)  1 Re 1.91

---

Record 4
A plane-wave DFT calculation with PBE-GGA was carried out for a relaxed structure of BaLaCoSn2.

Properties
The calculation puts the calculated total energy at -17.451 eV per cell.

a = 5.8981 Å, b = 5.8981 Å, c = 4.7619 Å
α = 90.00°, β = 90.00°, γ = 90.00°
Closest atoms and distances in Å follow each position.
Space group P4/mmm (No. 123)
Symmetry-distinct sites (fractional):
Ba 0.0000 0.0000 0.0000 (multiplicity 1)  2 Co 2.38
La 0.5000 0.5000 0.5000 (multiplicity 1)  8 Sn 3.79, 4 Co 4.17
Co 0.0000 0.0000 0.5000 (multiplicity 1)  2 Ba 2.38
Sn 0.0000 0.5000 0.0000 (multiplicity 2)  2 Ba 2.95

---

Record 5
A plane-wave DFT calculation with PBE-GGA was carried out for a relaxed structure of Pm2AlAg6.

Properties
The calculation puts the calculated total energy at -32.318 eV per cell.

a = 6.0837 Å, b = 6.0837 Å, c = 6.0144 Å
α = 90.00°, β = 90.00°, γ = 120.00°
Closest atoms and distances in Å follow each position.
Space group P-3m1 (No. 164)
Symmetry-distinct sites (fractional):
Pm 0.3333 0.6667 0.1486 (multiplicity 2)  12 Ag 3.22-3.59
Al 0.0000 0.0000 0.0000 (multiplicity 1)  6 Ag 2.68
Ag 0.1765 0.3530 0.6785 (multiplicity 6)  1 Al 2.68, 4 Ag 2.84-2.86

---

Record 6
A plane-wave DFT calculation with PBE-GGA was carried out for a relaxed structure of ZnRePt6.

Properties
The calculation puts the calculated total energy at -51.589 eV per cell.

a = 3.9414 Å, b = 3.9414 Å, c = 7.8856 Å
α = 90.00°, β = 90.00°, γ = 90.00°
Closest atoms and distances in Å follow each position.
Space group P4/mmm (No. 123)
Symmetry-distinct sites (fractional):
Zn 0.0000 0.0000 0.0000 (multiplicity 1)  12 Pt 2.79-2.82
Re 0.0000 0.0000 0.5000 (multiplicity 1)  12 Pt 2.76-2.79
Pt 0.0000 0.5000 0.2556 (multiplicity 4)  8 Pt 2.76-2.82, 2 Re 2.76, 2 Zn 2.82
Pt 0.5000 0.5000 0.0000 (multiplicity 1)  4 Zn 2.79, 8 Pt 2.82
Pt 0.5000 0.5000 0.5000 (multiplicity 1)  8 Pt 2.76, 4 Re 2.79

---

Record 7
A plane-wave DFT calculation with PBE-GGA was carried out for a relaxed structure of PmYSe.

Properties
The polymorph energy (0 for the lowest one) is 0.0033 eV/atom. The calculation puts the calculated total energy at -72.303 eV per cell. As for the uncorrected formation energy: -25.96 kcal/mol of atoms.

a = 14.8522 Å, b = 3.9470 Å, c = 6.8186 Å
α = 90.00°, β = 117.21°, γ = 90.00°
Closest atoms and distances in Å follow each position.
Space group C2/m (No. 12)
Symmetry-distinct sites (fractional):
Pm 0.1104 0.0000 0.2765 (multiplicity 4)  3 Se 2.94
Y 0.1153 0.5000 0.7827 (multiplicity 4)  3 Se 2.87
Se 0.2492 0.0000 0.7527 (multiplicity 4)  3 Y 2.87, 3 Pm 2.94

---

Record 8
A plane-wave DFT calculation with PBE-GGA was carried out for a relaxed structure of LiMnCo2.

Properties
The polymorph energy (0 for the lowest one) is 0.0987 eV/atom. The calculation puts the calculated total energy at -48.625 eV per cell.

a = 3.5198 Å, b = 3.5198 Å, c = 7.2455 Å
α = 90.00°, β = 90.00°, γ = 90.00°
Closest atoms and distances in Å follow each position.
Space group I-4m2 (No. 119)
Symmetry-distinct sites (fractional):
Li 0.0000 0.0000 0.0000 (multiplicity 2)  8 Co 2.49-2.53, 4 Mn 2.53
Mn 0.0000 0.5000 0.7500 (multiplicity 2)  8 Co 2.49-2.53, 4 Li 2.53
Co 0.0000 0.0000 0.5000 (multiplicity 2)  4 Li 2.49, 4 Co 2.53, 4 Mn 2.53
Co 0.0000 0.5000 0.2500 (multiplicity 2)  4 Mn 2.49, 4 Li 2.53, 4 Co 2.53

---

Record 9
A plane-wave DFT calculation with PBE-GGA was carried out for a relaxed structure of La2Tb2Pm4Ho.

Properties
The calculation puts the calculated total energy at -85.272 eV per cell.

a = 19.0317 Å, b = 3.6765 Å, c = 9.7443 Å
α = 90.00°, β = 115.66°, γ = 90.00°
Closest atoms and distances in Å follow each position.
Space group C2/m (No. 12)
Symmetry-distinct sites (fractional):
La 0.1652 0.0000 0.4984 (multiplicity 4)  3 Pm 3.60-3.63, 3 Tb 3.62-3.65, 2 Ho 3.65, 4 La 3.68-3.70
Tb 0.1474 0.5000 0.1651 (multiplicity 4)  7 Pm 3.59-3.67, 3 La 3.62-3.65, 2 Tb 3.68
Pm 0.0189 0.0000 0.8345 (multiplicity 4)  4 Tb 3.59-3.66, 5 Pm 3.60-3.68, 1 La 3.60, 2 Ho 3.62
Pm 0.1858 0.5000 0.8347 (multiplicity 4)  6 Pm 3.59-3.68, 3 Tb 3.60-3.67, 1 Ho 3.63, 2 La 3.63
Ho 0.0000 0.5000 0.5000 (multiplicity 2)  6 Pm 3.62-3.63, 4 La 3.65, 2 Ho 3.68

---

Record 10
A plane-wave DFT calculation with PBE-GGA was carried out for a relaxed structure of ZnH2Pb.

Properties
The polymorph energy (0 for the lowest one) is 0.3403 eV/atom. The calculation puts the calculated total energy at -36.682 eV per cell.

a = 6.0601 Å, b = 6.0601 Å, c = 6.0601 Å
α = 90.00°, β = 90.00°, γ = 90.00°
Closest atoms and distances in Å follow each position.
Space group Fm-3m (No. 225)
Symmetry-distinct sites (fractional):
Zn 0.0000 0.0000 0.0000 (multiplicity 4)  8 H 2.62
H 0.2500 0.2500 0.2500 (multiplicity 8)  4 Pb 2.62, 4 Zn 2.62
Pb 0.0000 0.0000 0.5000 (multiplicity 4)  8 H 2.62

---

Record 11
A plane-wave DFT calculation with PBE-GGA was carried out for a relaxed structure of La2BeCu.

Properties
The polymorph energy (0 for the lowest one) is 0.2838 eV/atom. The calculation puts the calculated total energy at -32.913 eV per cell.

a = 8.1421 Å, b = 3.6416 Å, c = 7.3079 Å
α = 90.00°, β = 102.02°, γ = 90.00°
Closest atoms and distances in Å follow each position.
Space group C2/m (No. 12)
Symmetry-distinct sites (fractional):
La 0.2446 0.0000 0.2405 (multiplicity 4)  3 Be 2.99, 3 Cu 3.02-3.10
Be 0.0000 0.5000 0.0000 (multiplicity 2)  6 La 2.99
Cu 0.0000 0.0000 0.5000 (multiplicity 2)  6 La 3.02-3.10

---

Record 12
A plane-wave DFT calculation with PBE-GGA was carried out for a relaxed structure of TiGaCuAu.

Properties
The polymorph energy (0 for the lowest one) is 0.0034 eV/atom. The calculation puts the calculated total energy at -77.114 eV per cell.

a = 6.2862 Å, b = 6.2862 Å, c = 6.2862 Å
α = 90.00°, β = 90.00°, γ = 90.00°
Closest atoms and distances in Å follow each position.
Space group F-43m (No. 216)
Symmetry-distinct sites (fractional):
Ti 0.0000 0.0000 0.0000 (multiplicity 4)  4 Au 2.72, 4 Cu 2.72
Ga 0.0000 0.0000 0.5000 (multiplicity 4)  4 Cu 2.72, 4 Au 2.72
Cu 0.2500 0.2500 0.7500 (multiplicity 4)  4 Ti 2.72, 4 Ga 2.72
Au 0.2500 0.2500 0.2500 (multiplicity 4)  4 Ga 2.72, 4 Ti 2.72

---

Calculated density (g/cm³)
7.191; 6.800; 7.200; 5.740; 8.305; 19.278; 5.846; 6.650; 7.244; 8.196; 5.490; 10.110